Entry 1:
Compound: LiInCu2
Source: the Alexandria database
Functional: PBEsol
Structure: optimized geometry

a b c (Å): 3.779 3.779 3.916
angles (deg): 90.00 90.00 90.00
Space group P4/mmm (No. 123)
Inequivalent atoms, fractional coordinates:
Li1 0.000 0.000 0.000 (multiplicity 1)
In1 0.500 0.500 0.000 (multiplicity 1)
Cu1 0.000 0.500 0.500 (multiplicity 2)

Output
Density in g/cm³: 7.39
Electronic total energy in eV per atom: -3.47

***

Entry 2:
Compound: Te2HCl
Source: the Alexandria database
Functional: PBEsol
Structure: optimized geometry

a b c (Å): 3.3667 3.3667 24.6350
angles (deg): 90.00 90.00 120.00
Space group R-3m (No. 166, hexagonal axes)
Inequivalent atoms, fractional coordinates:
Te1 0.0000 0.0000 0.1068 (multiplicity 6)
H1 0.0000 0.0000 0.5000 (multiplicity 3)
Cl1 0.0000 0.0000 0.0000 (multiplicity 3)

Output
Density in g/cm³: 6.01
Electronic total energy in eV per atom: -2.75

***

Entry 3:
Compound: MnW
Source: the Alexandria database
Functional: PBEsol
Structure: optimized geometry

a b c (Å): 3.465 4.004 7.573
angles (deg): 90.00 90.00 90.00
Space group Cmme (No. 67)
Inequivalent atoms, fractional coordinates:
Mn1 0.000 0.250 0.091 (multiplicity 4)
W1 0.000 0.250 0.650 (multiplicity 4)

Output
Density in g/cm³: 15.09
Electronic total energy in eV per atom: -11.62

***

Entry 4:
Compound: Ge3N4
Source: the Alexandria database
Functional: PBEsol
Structure: optimized geometry

a b c (Å): 8.2201 8.2201 5.9447
angles (deg): 90.00 90.00 120.00
Space group P31c (No. 159)
Inequivalent atoms, fractional coordinates:
Ge1 0.0828 0.5107 0.0000 (multiplicity 6)
Ge2 0.0854 0.8320 0.2970 (multiplicity 6)
N1 0.0000 0.0000 0.2985 (multiplicity 2)
N2 0.0039 0.6832 0.0431 (multiplicity 6)
N3 0.0442 0.3874 0.2721 (multiplicity 6)
N4 0.3333 0.6667 0.9380 (multiplicity 2)

Output
Distance to the lowest polymorph of the same formula in meV/atom: 0
Formation energy (no corrections) in meV per atom: -215
Density in g/cm³: 5.23